No. 1
{
  "formula": "ZrBe2Hg",
  "functional": "PBE-GGA",
  "state": "optimized geometry",
  "magnetic_moment_mub_per_atom": 0.000,
  "formation_enthalpy_0k_ev_per_atom": 0.4398,
  "dos_at_fermi_per_ev_cell": 2.7,
  "sg": "I4_1/amd, No. 141",
  "lattice": [[4.2143, 0.0000, 0.0000], [0.0000, 4.2143, 0.0000], [2.1072, 2.1072, 8.0416]],
  "species": ["Be", "Zr", "Hg", "Zr", "Be", "Hg", "Be", "Be"],
  "frac_coords": [[0.8751, 0.6250, 0.2500], [0.2500, 0.7500, 0.5000], [0.0000, 0.0000, 0.0000], [0.5000, 0.5000, 0.0000], [0.8750, 0.1249, 0.7500], [0.7500, 0.2500, 0.5000], [0.8749, 0.1250, 0.2500], [0.3750, 0.1251, 0.7500]]
}

No. 2
{
  "formula": "ZrBeHg4",
  "functional": "PBE-GGA",
  "state": "optimized geometry",
  "magnetic_moment_mub_per_atom": 0.061,
  "formation_enthalpy_0k_ev_per_atom": 0.6575,
  "dos_at_fermi_per_ev_cell": 4.6,
  "sg": "F-43m, No. 216",
  "lattice": [[-1.0466, -4.9268, 2.8009], [-5.4177, -1.8619, 0.6297], [-1.8091, -4.6375, -2.9043]],
  "species": ["Hg", "Hg", "Zr", "Be", "Hg", "Hg"],
  "frac_coords": [[0.3751, 0.8746, 0.3751], [0.3751, 0.3751, 0.8746], [0.7500, 0.7500, 0.7500], [0.0000, 0.0000, 0.0000], [0.8746, 0.3751, 0.3751], [0.3751, 0.3751, 0.3751]]
}